No. 1
Density functional theory data (PBE-GGA) for a geometry-optimized LaMgFeOs2 structure.

Cell: 4.5963 4.8952 4.5963 Å, 90.00 90.00 90.00°
Fractional coordinates of all 5 atoms:
Mg (0.5000, 0.5000, 0.5000)
Os (0.0000, 0.0000, 0.5000)
Os (0.5000, 0.0000, 0.0000)
Fe (0.0000, 0.0000, 0.0000)
La (0.0000, 0.5000, 0.0000)

Results
The calculation puts the formation enthalpy at 0 K at 0.877 eV per atom.



No. 2
Density functional theory data (PBE-GGA) for a geometry-optimized La2MgFePb structure.

Cell: 5.0997 5.0997 5.1652 Å, 90.00 90.00 90.00°
Fractional coordinates of all 5 atoms:
Pb (0.5000, 0.5000, 0.5000)
Mg (0.0000, 0.0000, 0.5000)
Fe (0.0000, 0.0000, 0.0000)
La (0.0000, 0.5000, 0.0000)
La (0.5000, 0.0000, 0.0000)

Results
The calculation puts the formation enthalpy at 0 K at -0.173 eV per atom.



No. 3
Density functional theory data (PBE-GGA) for a geometry-optimized LaMgFePt2 structure.

Cell: 4.8773 4.6700 4.8773 Å, 90.00 90.00 90.00°
Site moments in Bohr magnetons follow the coordinates.
Fractional coordinates of all 5 atoms:
Mg (0.5000, 0.5000, 0.5000)  0.01
Fe (0.0000, 0.0000, 0.0000)  1.64
Pt (0.0000, 0.0000, 0.5000)  0.33
Pt (0.5000, 0.0000, 0.0000)  0.11
La (0.0000, 0.5000, 0.0000)  -0.08

Results
The calculation puts the formation enthalpy at 0 K at 0.104 eV per atom.



No. 4
Density functional theory data (PBE-GGA) for a geometry-optimized LaMg2FeSb structure.

Cell: 5.3528 4.7480 5.3528 Å, 90.00 90.00 90.00°
Fractional coordinates of all 5 atoms:
Sb (0.0000, 0.0000, 0.0000)
Mg (0.0000, 0.0000, 0.5000)
Mg (0.5000, 0.0000, 0.0000)
Fe (0.0000, 0.5000, 0.0000)
La (0.5000, 0.5000, 0.5000)

Results
Its uncorrected formation energy is 0.51 eV/atom.



No. 5
Density functional theory data (PBE-GGA) for a geometry-optimized LaMg2ScFe structure.

Cell: 5.3810 5.4009 5.3810 Å, 90.00 90.00 90.00°
Site moments in Bohr magnetons follow the coordinates.
Fractional coordinates of all 5 atoms:
Sc (0.0000, 0.0000, 0.0000)  0.11
Mg (0.0000, 0.0000, 0.5000)  0.00
Mg (0.5000, 0.0000, 0.0000)  0.00
Fe (0.5000, 0.5000, 0.5000)  -0.20
La (0.0000, 0.5000, 0.0000)  0.09

Results
The calculation puts the formation enthalpy at 0 K at 1.560 eV per atom.



No. 6
Density functional theory data (PBE-GGA) for a geometry-optimized LaMgSc2Fe structure.

Cell: 5.0075 5.0075 5.0745 Å, 90.00 90.00 90.00°
Fractional coordinates of all 5 atoms:
Sc (0.0000, 0.5000, 0.0000)
Sc (0.5000, 0.0000, 0.0000)
Mg (0.5000, 0.5000, 0.5000)
Fe (0.0000, 0.0000, 0.0000)
La (0.0000, 0.0000, 0.5000)

Results
The calculation puts the formation enthalpy at 0 K at 0.047 eV per atom. As for the polymorph energy (0 for the lowest one): 47 meV per atom.



No. 7
Density functional theory data (PBE-GGA) for a geometry-optimized La2MgScFe structure.

Cell: 5.2663 5.2663 5.0766 Å, 90.00 90.00 90.00°
Fractional coordinates of all 5 atoms:
Sc (0.0000, 0.0000, 0.5000)
Mg (0.5000, 0.5000, 0.5000)
Fe (0.0000, 0.0000, 0.0000)
La (0.0000, 0.5000, 0.0000)
La (0.5000, 0.0000, 0.0000)

Results
The calculation puts the formation enthalpy at 0 K at 0.024 eV per atom.



No. 8
Density functional theory data (PBE-GGA) for a geometry-optimized LaMgSc2Fe structure.

Cell: 4.8236 4.8236 5.1768 Å, 90.00 90.00 90.00°
Fractional coordinates of all 5 atoms:
Sc (0.0000, 0.5000, 0.0000)
Sc (0.5000, 0.0000, 0.0000)
Mg (0.0000, 0.0000, 0.5000)
Fe (0.0000, 0.0000, 0.0000)
La (0.5000, 0.5000, 0.5000)

Results
The calculation puts the formation enthalpy at 0 K at 0.000 eV per atom. As for the polymorph energy (0 for the lowest one): 0 meV per atom.



No. 9
Density functional theory data (PBE-GGA) for a geometry-optimized La2MgFeSn structure.

Cell: 5.0787 5.0787 5.1098 Å, 90.00 90.00 90.00°
Fractional coordinates of all 5 atoms:
Fe (0.0000, 0.0000, 0.0000)
Mg (0.0000, 0.0000, 0.5000)
Sn (0.5000, 0.5000, 0.5000)
La (0.0000, 0.5000, 0.0000)
La (0.5000, 0.0000, 0.0000)

Results
The calculation puts the formation enthalpy at 0 K at -0.214 eV per atom.



No. 10
Density functional theory data (PBE-GGA) for a geometry-optimized SrLa2MgFe structure.

Cell: 5.1941 5.1941 6.0661 Å, 90.00 90.00 90.00°
Fractional coordinates of all 5 atoms:
Sr (0.0000, 0.0000, 0.5000)
Mg (0.5000, 0.5000, 0.5000)
Fe (0.0000, 0.0000, 0.0000)
La (0.0000, 0.5000, 0.0000)
La (0.5000, 0.0000, 0.0000)

Results
The calculation puts the formation enthalpy at 0 K at 0.118 eV per atom. As for the polymorph energy (0 for the lowest one): 54 meV per atom.



No. 11
Density functional theory data (PBE-GGA) for a geometry-optimized SrLa2MgFe structure.

Cell: 5.2840 5.2840 5.5487 Å, 90.00 90.00 90.00°
Fractional coordinates of all 5 atoms:
Sr (0.5000, 0.5000, 0.5000)
Mg (0.0000, 0.0000, 0.5000)
Fe (0.0000, 0.0000, 0.0000)
La (0.0000, 0.5000, 0.0000)
La (0.5000, 0.0000, 0.0000)

Results
The calculation puts the formation enthalpy at 0 K at 0.064 eV per atom. As for the polymorph energy (0 for the lowest one): 0 meV per atom.



No. 12
Density functional theory data (PBE-GGA) for a geometry-optimized La2MgTlFe structure.

Cell: 5.1900 5.1900 5.2358 Å, 90.00 90.00 90.00°
Site moments in Bohr magnetons follow the coordinates.
Fractional coordinates of all 5 atoms:
Mg (0.5000, 0.5000, 0.5000)  0.00
Tl (0.0000, 0.0000, 0.5000)  0.00
Fe (0.0000, 0.0000, 0.0000)  0.07
La (0.0000, 0.5000, 0.0000)  0.00
La (0.5000, 0.0000, 0.0000)  0.00

Results
The calculation puts the formation enthalpy at 0 K at -0.059 eV per atom. As for the polymorph energy (0 for the lowest one): 39 meV per atom.



No. 13
Density functional theory data (PBE-GGA) for a geometry-optimized LaMg2TlFe structure.

Cell: 5.2274 5.1268 5.2274 Å, 90.00 90.00 90.00°
Site moments in Bohr magnetons follow the coordinates.
Fractional coordinates of all 5 atoms:
Mg (0.0000, 0.0000, 0.5000)  -0.01
Mg (0.5000, 0.0000, 0.0000)  -0.01
Tl (0.0000, 0.0000, 0.0000)  -0.04
Fe (0.0000, 0.5000, 0.0000)  2.74
La (0.5000, 0.5000, 0.5000)  -0.25

Results
The calculation puts the formation enthalpy at 0 K at 0.527 eV per atom.



No. 14
Density functional theory data (PBE-GGA) for a geometry-optimized La2MgTlFe structure.

Cell: 5.1065 5.1065 5.2091 Å, 90.00 90.00 90.00°
Fractional coordinates of all 5 atoms:
Mg (0.0000, 0.0000, 0.5000)
Tl (0.5000, 0.5000, 0.5000)
Fe (0.0000, 0.0000, 0.0000)
La (0.0000, 0.5000, 0.0000)
La (0.5000, 0.0000, 0.0000)

Results
The calculation puts the formation enthalpy at 0 K at -0.097 eV per atom. As for the polymorph energy (0 for the lowest one): 0 meV per atom.



No. 15
Density functional theory data (PBE-GGA) for a geometry-optimized LaY2MgFe structure.

Cell: 5.1378 5.1378 5.2849 Å, 90.00 90.00 90.00°
Fractional coordinates of all 5 atoms:
Y (0.0000, 0.5000, 0.0000)
Y (0.5000, 0.0000, 0.0000)
Mg (0.0000, 0.0000, 0.5000)
Fe (0.0000, 0.0000, 0.0000)
La (0.5000, 0.5000, 0.5000)

Results
The calculation puts the formation enthalpy at 0 K at 0.103 eV per atom. As for the polymorph energy (0 for the lowest one): 58 meV per atom.



No. 16
Density functional theory data (PBE-GGA) for a geometry-optimized LaYMgFe2 structure.

Cell: 4.7394 5.3542 4.7394 Å, 90.00 90.00 90.00°
Site moments in Bohr magnetons follow the coordinates.
Fractional coordinates of all 5 atoms:
Y (0.0000, 0.0000, 0.0000)  -0.34
Mg (0.0000, 0.5000, 0.0000)  0.00
Fe (0.0000, 0.0000, 0.5000)  2.26
Fe (0.5000, 0.0000, 0.0000)  2.50
La (0.5000, 0.5000, 0.5000)  -0.09

Results
The calculation puts the formation enthalpy at 0 K at 0.976 eV per atom.



No. 17
Density functional theory data (PBE-GGA) for a geometry-optimized LaY2MgFe structure.

Cell: 5.3326 5.3326 5.0883 Å, 90.00 90.00 90.00°
Fractional coordinates of all 5 atoms:
Y (0.0000, 0.5000, 0.0000)
Y (0.5000, 0.0000, 0.0000)
Mg (0.5000, 0.5000, 0.5000)
Fe (0.0000, 0.0000, 0.0000)
La (0.0000, 0.0000, 0.5000)

Results
The calculation puts the formation enthalpy at 0 K at 0.044 eV per atom. As for the polymorph energy (0 for the lowest one): 0 meV per atom.



No. 18
Density functional theory data (PBE-GGA) for a geometry-optimized La2MgZnFe structure.

Cell: 5.0868 5.0868 5.1066 Å, 90.00 90.00 90.00°
Fractional coordinates of all 5 atoms:
Mg (0.0000, 0.0000, 0.5000)
Zn (0.5000, 0.5000, 0.5000)
Fe (0.0000, 0.0000, 0.0000)
La (0.0000, 0.5000, 0.0000)
La (0.5000, 0.0000, 0.0000)

Results
The calculation puts the formation enthalpy at 0 K at 0.012 eV per atom. As for the polymorph energy (0 for the lowest one): 22 meV per atom.



No. 19
Density functional theory data (PBE-GGA) for a geometry-optimized La2MgZnFe structure.

Cell: 5.1441 5.1441 4.9229 Å, 90.00 90.00 90.00°
Fractional coordinates of all 5 atoms:
Mg (0.5000, 0.5000, 0.5000)
Zn (0.0000, 0.0000, 0.5000)
Fe (0.0000, 0.0000, 0.0000)
La (0.0000, 0.5000, 0.0000)
La (0.5000, 0.0000, 0.0000)

Results
The calculation puts the formation enthalpy at 0 K at -0.010 eV per atom. As for the polymorph energy (0 for the lowest one): 0 meV per atom.



No. 20
Density functional theory data (PBE-GGA) for a geometry-optimized LaMnFe2 structure.

Cell: 5.4336 5.4336 5.4336 Å, 146.82 128.82 62.36°
Site moments in Bohr magnetons follow the coordinates.
Fractional coordinates of all 4 atoms:
Fe (0.9773, 0.9773, 0.0000)  2.51
Fe (0.5227, 0.5227, 0.0000)  2.51
La (0.2500, 0.7500, 0.5000)  0.04
Mn (0.7500, 0.2500, 0.5000)  -2.76

Results
The calculation puts the formation enthalpy at 0 K at 0.624 eV per atom. As for the polymorph energy (0 for the lowest one): 455 meV per atom.



Number 1: VASP energy -33.06 eV/cell, size of the total moment 0.00 μB per formula unit. Number 2: VASP energy -24.48 eV/cell, size of the total moment 0.00 μB per formula unit. Number 3: VASP energy -26.54 eV/cell, size of the total moment 1.93 μB per formula unit. Number 4: VASP energy -18.16 eV/cell, size of the total moment 0.00 μB per formula unit. Number 5: VASP energy -15.11 eV/cell, size of the total moment 0.07 μB per formula unit. Number 6: VASP energy -27.41 eV/cell, size of the total moment 0.00 μB per formula unit. Number 7: VASP energy -26.12 eV/cell, size of the total moment 0.00 μB per formula unit. Number 8: VASP energy -27.65 eV/cell, size of the total moment 0.00 μB per formula unit. Number 9: VASP energy -24.98 eV/cell, size of the total moment 0.00 μB per formula unit. Number 10: VASP energy -21.00 eV/cell, size of the total moment 0.00 μB per formula unit. Number 11: VASP energy -21.27 eV/cell, size of the total moment 0.00 μB per formula unit. Number 12: VASP energy -22.57 eV/cell, size of the total moment 0.06 μB per formula unit. Number 13: VASP energy -16.31 eV/cell, size of the total moment 1.83 μB per formula unit. Number 14: VASP energy -22.77 eV/cell, size of the total moment 0.00 μB per formula unit. Number 15: VASP energy -27.40 eV/cell, size of the total moment 0.00 μB per formula unit. Number 16: VASP energy -25.03 eV/cell, size of the total moment 4.11 μB per formula unit. Number 17: VASP energy -27.69 eV/cell, size of the total moment 0.00 μB per formula unit. Number 18: VASP energy -21.13 eV/cell, size of the total moment 0.00 μB per formula unit. Number 19: VASP energy -21.24 eV/cell, size of the total moment 0.00 μB per formula unit. Number 20: VASP energy -28.53 eV/cell, size of the total moment 2.22 μB per formula unit.